Record 1
Entry from Alexandria: a relaxed structure of Ho2Tm3Th2 (PBE).

The space group is C2/m (No. 12) and the conventional cell measures 15.294, 3.543 and 8.661 Å, with angles of 90.00, 112.23 and 90.00 degrees. Symmetry generates all atoms from Ho at (0.075, 0.000, 0.218), Tm at (0.000, 0.500, 0.500), Tm at (0.145, 0.500, 0.929) and Th at (0.213, 0.000, 0.641).

The distance to the lowest polymorph of the same formula comes out at 0.0 meV per atom. The value obtained for the formation energy is 0.59 kcal/mol of atoms.

---

Record 2
Entry from Alexandria: a relaxed structure of Sr3MgZn2Ag6 (PBE).

The space group is P-3m1 (No. 164) and the conventional cell measures 6.2927, 6.2927 and 8.9731 Å, with angles of 90.00, 90.00 and 120.00 degrees. Symmetry generates all atoms from Sr at (0.0000, 0.0000, 0.0000), Sr at (0.3333, 0.6667, 0.6212), Mg at (0.0000, 0.0000, 0.5000), Zn at (0.3333, 0.6667, 0.0246) and Ag at (0.1811, 0.3623, 0.2774).

The value obtained for the formation energy is -2.34 kcal/mol of atoms.

---

Record 3
Entry from Alexandria: a relaxed structure of Li3NpPa3N8 (PBE).

The space group is R-3m (No. 166, hexagonal axes) and the conventional cell measures 7.0836, 7.0836 and 14.8069 Å, with angles of 90.00, 90.00 and 120.00 degrees. Symmetry generates all atoms from Li at (0.0000, 0.5000, 0.0000), Np at (0.0000, 0.0000, 0.5000), Pa at (0.0000, 0.5000, 0.5000), N at (0.0000, 0.0000, 0.2348) and N at (0.0174, 0.5087, 0.2331).

The formation energy without anion corrections comes out at -1.199 eV/atom.

---

Record 4
Entry from Alexandria: a relaxed structure of DyHoCdAg (PBE).

The space group is P4mm (No. 99) and the conventional cell measures 3.676, 3.676 and 7.377 Å, with angles of 90.00, 90.00 and 90.00 degrees. Symmetry generates all atoms from Dy at (0.000, 0.000, 0.000), Ho at (0.000, 0.000, 0.483), Cd at (0.500, 0.500, 0.740) and Ag at (0.500, 0.500, 0.244).

The distance to the lowest polymorph of the same formula comes out at 0.0 meV per atom. The value obtained for the formation energy is -7.32 kcal/mol of atoms.

---

Record 5
Entry from Alexandria: a relaxed structure of BAsPO2 (PBE).

The space group is P4/mmm (No. 123) and the conventional cell measures 3.546, 3.546 and 5.117 Å, with angles of 90.00, 90.00 and 90.00 degrees. Symmetry generates all atoms from B at (0.000, 0.000, 0.000), As at (0.500, 0.500, 0.500), P at (0.500, 0.500, 0.000) and O at (0.000, 0.500, 0.500).

The distance to the lowest polymorph of the same formula comes out at 307.8 meV per atom. The formation energy without anion corrections comes out at 0.466 eV/atom.

---

Record 6
Entry from Alexandria: a relaxed structure of CsSe2SN (PBE).

The space group is P4/mmm (No. 123) and the conventional cell measures 6.388, 6.388 and 3.267 Å, with angles of 90.00, 90.00 and 90.00 degrees. Symmetry generates all atoms from Cs at (0.000, 0.000, 0.000), Se at (0.000, 0.500, 0.500), S at (0.500, 0.500, 0.500) and N at (0.500, 0.500, 0.000).

The formation energy without anion corrections comes out at 0.531 eV/atom.

---

Record 7
Entry from Alexandria: a relaxed structure of Ba2LiHgH (PBE).

The space group is P4/mmm (No. 123) and the conventional cell measures 5.801, 5.801 and 4.298 Å, with angles of 90.00, 90.00 and 90.00 degrees. Symmetry generates all atoms from Ba at (0.000, 0.500, 0.000), Li at (0.000, 0.000, 0.500), Hg at (0.500, 0.500, 0.500) and H at (0.000, 0.000, 0.000).

The distance to the lowest polymorph of the same formula comes out at 0.0 meV per atom.

---

Record 8
Entry from Alexandria: a relaxed structure of La12Co5Ir (PBE).

The space group is C2/m (No. 12) and the conventional cell measures 7.129, 12.363 and 13.099 Å, with angles of 90.00, 100.23 and 90.00 degrees. Symmetry generates all atoms from La at (0.119, 0.000, 0.384), La at (0.133, 0.329, 0.384), La at (0.201, 0.500, 0.112), La at (0.202, 0.166, 0.112), Co at (0.000, 0.000, 0.000), Co at (0.000, 0.167, 0.500), Co at (0.000, 0.334, 0.000) and Ir at (0.000, 0.500, 0.500).

The value obtained for the formation energy is -4.23 kcal/mol of atoms.

---

Record 9
Entry from Alexandria: a relaxed structure of Ga2PdAu4 (PBE).

The space group is I-42d (No. 122) and the conventional cell measures 8.013, 8.013 and 7.856 Å, with angles of 90.00, 90.00 and 90.00 degrees. Symmetry generates all atoms from Ga at (0.142, 0.250, 0.125), Pd at (0.000, 0.000, 0.500) and Au at (0.078, 0.164, 0.805).

The value obtained for the formation energy is -2.54 kcal/mol of atoms.

---

Record 10
Entry from Alexandria: a relaxed structure of K2NbCu2Te4 (PBE).

The space group is C2/m (No. 12) and the conventional cell measures 15.532, 4.109 and 8.399 Å, with angles of 90.00, 109.28 and 90.00 degrees. Symmetry generates all atoms from K at (0.134, 0.000, 0.065), Nb at (0.000, 0.000, 0.500), Cu at (0.189, 0.500, 0.486), Te at (0.019, 0.500, 0.274) and Te at (0.193, 0.000, 0.684).

The formation energy without anion corrections comes out at -0.497 eV/atom.

---

Record 11
Entry from Alexandria: a relaxed structure of Ta6B2C (PBE).

The space group is P4_2/mnm (No. 136) and the conventional cell measures 5.225, 5.225 and 9.780 Å, with angles of 90.00, 90.00 and 90.00 degrees. Symmetry generates all atoms from Ta at (0.203, 0.203, 0.164), Ta at (0.208, 0.208, 0.500), B at (0.000, 0.000, 0.333) and C at (0.000, 0.000, 0.000).

The value obtained for the formation energy is -8.77 kcal/mol of atoms.

---

Record 12
Entry from Alexandria: a relaxed structure of Y2WCl (PBE).

The space group is R-3m (No. 166, hexagonal axes) and the conventional cell measures 3.5093, 3.5093 and 26.2784 Å, with angles of 90.00, 90.00 and 120.00 degrees. Symmetry generates all atoms from Y at (0.0000, 0.0000, 0.2486), W at (0.0000, 0.0000, 0.5000) and Cl at (0.0000, 0.0000, 0.0000).

The distance to the lowest polymorph of the same formula comes out at 146.8 meV per atom. The formation energy without anion corrections comes out at -0.233 eV/atom.

---

Record 13
Entry from Alexandria: a relaxed structure of PuThPaHg (PBE).

The space group is F-43m (No. 216) and the conventional cell measures 7.474, 7.474 and 7.474 Å, with angles of 90.00, 90.00 and 90.00 degrees. Symmetry generates all atoms from Pu at (0.000, 0.000, 0.000), Th at (0.000, 0.000, 0.500), Pa at (0.250, 0.250, 0.250) and Hg at (0.250, 0.250, 0.750).

The value obtained for the formation energy is 4.25 kcal/mol of atoms.

---

Record 14
Entry from Alexandria: a relaxed structure of Cd2BiS2 (PBE).

The space group is I4/mmm (No. 139) and the conventional cell measures 5.072, 5.072 and 9.233 Å, with angles of 90.00, 90.00 and 90.00 degrees. Symmetry generates all atoms from Cd at (0.000, 0.000, 0.148), Bi at (0.000, 0.000, 0.500) and S at (0.000, 0.500, 0.250).

The formation energy without anion corrections comes out at 0.088 eV/atom.

---

Record 15
Entry from Alexandria: a relaxed structure of NbGeSb (PBE).

The space group is Cmc2_1 (No. 36) and the conventional cell measures 3.566, 12.161 and 5.851 Å, with angles of 90.00, 90.00 and 90.00 degrees. Symmetry generates all atoms from Nb at (0.000, 0.079, 0.000), Ge at (0.000, 0.435, 0.167) and Sb at (0.000, 0.297, 0.793).

The formation energy without anion corrections comes out at -0.124 eV/atom.

---

Record 16
Entry from Alexandria: a relaxed structure of CdTeRhO5 (PBE).

The space group is C2/c (No. 15) and the conventional cell measures 7.525, 8.819 and 7.660 Å, with angles of 90.00, 116.74 and 90.00 degrees. Symmetry generates all atoms from Cd at (0.000, 0.061, 0.250), Te at (0.000, 0.455, 0.250), Rh at (0.250, 0.250, 0.000), O at (0.000, 0.206, 0.750), O at (0.064, 0.289, 0.122) and O at (0.217, 0.023, 0.049).

The formation energy without anion corrections comes out at -0.789 eV/atom.

---

Record 17
Entry from Alexandria: a relaxed structure of KTl2O2 (PBE).

The space group is C2/c (No. 15) and the conventional cell measures 9.257, 9.398 and 6.877 Å, with angles of 90.00, 127.35 and 90.00 degrees. Symmetry generates all atoms from K at (0.000, 0.150, 0.250), Tl at (0.000, 0.500, 0.000), Tl at (0.250, 0.250, 0.000) and O at (0.203, 0.451, 0.369).

The distance to the lowest polymorph of the same formula comes out at 254.9 meV per atom. The formation energy without anion corrections comes out at -0.573 eV/atom.

---

Record 18
Entry from Alexandria: a relaxed structure of PCSCl2 (PBE).

The space group is P4/mmm (No. 123) and the conventional cell measures 4.264, 4.264 and 4.289 Å, with angles of 90.00, 90.00 and 90.00 degrees. Symmetry generates all atoms from P at (0.000, 0.000, 0.000), C at (0.500, 0.500, 0.500), S at (0.500, 0.500, 0.000) and Cl at (0.000, 0.500, 0.500).

The distance to the lowest polymorph of the same formula comes out at 12.4 meV per atom. The formation energy without anion corrections comes out at 1.420 eV/atom.

---

Record 19
Entry from Alexandria: a relaxed structure of TlGeO (PBE).

The space group is Pm (No. 6) and the conventional cell measures 3.050, 3.248 and 6.617 Å, with angles of 90.00, 103.15 and 90.00 degrees. Symmetry generates all atoms from Tl at (0.000, 0.000, 0.000), Ge at (0.242, 0.500, 0.468) and O at (0.830, 0.500, 0.648).

The distance to the lowest polymorph of the same formula comes out at 0.0 meV per atom. The formation energy without anion corrections comes out at -0.594 eV/atom.

---

Record 20
Entry from Alexandria: a relaxed structure of K3B2F8 (PBE).

The space group is R-3m (No. 166, hexagonal axes) and the conventional cell measures 5.7547, 5.7547 and 26.5510 Å, with angles of 90.00, 90.00 and 120.00 degrees. Symmetry generates all atoms from K at (0.0000, 0.0000, 0.0000), K at (0.0000, 0.0000, 0.2262), B at (0.0000, 0.0000, 0.3837), F at (0.0000, 0.0000, 0.3300) and F at (0.0646, 0.5323, 0.2654).

The formation energy without anion corrections comes out at -2.741 eV/atom.

---

| no. | total magnetic moment (μB/f.u.) | DFT total energy (eV per atom) |
| --- | --- | --- |
| 1 | 0.00 | -5.3188 |
| 2 | 0.00 | -2.2930 |
| 3 | 1.00 | -8.7838 |
| 4 | 0.00 | -3.5540 |
| 5 | 0.00 | -4.8651 |
| 6 | 0.00 | -3.5245 |
| 7 | 0.00 | -2.2430 |
| 8 | 0.00 | -5.9344 |
| 9 | 0.00 | -3.5897 |
| 10 | 0.81 | -4.1659 |
| 11 | 0.00 | -10.7909 |
| 12 | 0.44 | -7.1646 |
| 13 | 6.98 | -7.7029 |
| 14 | 0.00 | -2.7055 |
| 15 | 0.00 | -6.3942 |
| 16 | 0.68 | -5.3142 |
| 17 | 0.00 | -3.7222 |
| 18 | 0.00 | -3.0706 |
| 19 | 0.00 | -4.5741 |
| 20 | 0.27 | -5.1727 |